[1]
VASP calculation (PBE) on a relaxed TbDyTm2In4 crystal.

The structure in extended XYZ format:
```
8
Lattice="2.645 1.527 8.659 -2.645 1.527 8.659 0.000 -3.054 8.659" Properties=species:S:1:pos:R:3 pbc="T T T"
Tb 0.000 0.000 0.000
Dy 0.000 0.000 12.988
Tm 0.000 0.000 6.492
Tm 0.000 0.000 19.483
In 0.000 0.000 3.251
In 0.000 0.000 9.747
In 0.000 0.000 16.229
In 0.000 0.000 22.725
```

**Density of states at the Fermi level**: 3.89 states/eV/cell
**Energy of formation from the pure elements**: -344.6 kJ/mol of formula units
**Size of the total moment**: 0.00 Bohr magnetons per cell


[2]
VASP calculation (PBE) on a relaxed Tb2DyTmIn4 crystal.

The structure in extended XYZ format:
```
8
Lattice="2.653 1.532 8.687 -2.653 1.532 8.687 0.000 -3.064 8.687" Properties=species:S:1:pos:R:3 pbc="T T T"
Tb 0.000 0.000 6.524
Tb 0.000 0.000 19.537
Dy 0.000 0.000 13.030
Tm 0.000 0.000 0.000
In 0.000 0.000 3.246
In 0.000 0.000 9.760
In 0.000 0.000 16.301
In 0.000 0.000 22.815
```

**Density of states at the Fermi level**: 3.54 states/eV/cell
**Energy of formation from the pure elements**: -354.9 kJ/mol of formula units
**Size of the total moment**: 0.00 Bohr magnetons per cell


[3]
VASP calculation (PBE) on a relaxed TbDy2Tm2In crystal.

The structure in extended XYZ format:
```
12
Lattice="6.594 0.000 0.000 0.000 9.975 0.000 0.000 0.000 5.378" Properties=species:S:1:pos:R:3 pbc="T T T"
Tb 0.000 0.000 0.000
Tb 3.297 4.987 2.689
Dy 1.494 1.862 2.689
Dy 1.802 6.849 0.000
Dy 4.791 3.125 0.000
Dy 5.099 8.113 2.689
Tm 1.422 3.614 0.000
Tm 1.875 8.601 2.689
Tm 4.718 1.373 2.689
Tm 5.172 6.361 0.000
In 0.000 4.987 2.689
In 3.297 0.000 0.000
```

**Density of states at the Fermi level**: 13.36 states/eV/cell
**Energy of formation from the pure elements**: -15.7 kJ/mol of formula units
**Size of the total moment**: 0.00 Bohr magnetons per cell


[4]
VASP calculation (PBE) on a relaxed TbDyTmIn crystal.

The structure in extended XYZ format:
```
4
Lattice="4.827 0.000 0.000 0.000 4.828 0.000 0.000 0.000 4.831" Properties=species:S:1:pos:R:3 pbc="T T T"
Tb 0.000 0.000 0.000
Dy 2.414 0.000 2.415
Tm 2.414 2.414 0.000
In 0.000 2.414 2.415
```

**Density of states at the Fermi level**: 5.86 states/eV/cell
**Energy of formation from the pure elements**: -102.1 kJ/mol of formula units
**Size of the total moment**: 0.00 Bohr magnetons per cell
**Polymorph energy (0 for the lowest one)**: 0 meV per atom


[5]
VASP calculation (PBE) on a relaxed Tb6Dy2Tm3In crystal.

The structure in extended XYZ format:
```
12
Lattice="3.035 -5.260 0.000 3.035 5.260 0.000 -2.029 0.000 11.422" Properties=species:S:1:pos:R:3 pbc="T T T"
Tb -0.019 1.730 8.555
Tb 0.984 0.000 2.852
Tb -0.019 -1.730 8.555
Tb 4.059 1.730 2.867
Tb 3.056 0.000 8.570
Tb 4.059 -1.730 2.867
Dy 2.020 1.747 5.711
Dy 2.020 -1.747 5.711
Tm 3.035 3.503 0.000
Tm 3.035 0.000 0.000
Tm 3.035 -3.503 0.000
In -1.015 0.000 5.711
```

**Density of states at the Fermi level**: 14.32 states/eV/cell
**Energy of formation from the pure elements**: -49.6 kJ/mol of formula units
**Size of the total moment**: 0.00 Bohr magnetons per cell


[6]
VASP calculation (PBE) on a relaxed TbDyTmIn crystal.

The structure in extended XYZ format:
```
16
Lattice="7.680 0.000 0.000 0.000 7.680 0.000 0.000 0.000 7.680" Properties=species:S:1:pos:R:3 pbc="T T T"
Tb 0.000 0.000 0.000
Tb 0.000 3.840 3.840
Tb 3.840 0.000 3.840
Tb 3.840 3.840 0.000
Dy 0.000 0.000 3.840
Dy 0.000 3.840 0.000
Dy 3.840 0.000 0.000
Dy 3.840 3.840 3.840
Tm 1.920 1.920 5.760
Tm 1.920 5.760 1.920
Tm 5.760 1.920 1.920
Tm 5.760 5.760 5.760
In 1.920 1.920 1.920
In 1.920 5.760 5.760
In 5.760 1.920 5.760
In 5.760 5.760 1.920
```

**Density of states at the Fermi level**: 26.11 states/eV/cell
**Energy of formation from the pure elements**: -53.5 kJ/mol of formula units
**Size of the total moment**: 3.13 Bohr magnetons per cell
**Polymorph energy (0 for the lowest one)**: 126 meV per atom


[7]
VASP calculation (PBE) on a relaxed Tb2Dy2Tm2In crystal.

The structure in extended XYZ format:
```
14
Lattice="11.655 0.000 0.000 0.000 3.521 0.000 -4.483 0.000 10.491" Properties=species:S:1:pos:R:3 pbc="T T T"
Tb -0.769 0.000 2.655
Tb 2.113 1.760 7.836
Tb 5.059 1.760 2.655
Tb 7.941 0.000 7.836
Dy -0.584 0.000 6.145
Dy 1.928 1.760 4.346
Dy 5.244 1.760 6.145
Dy 7.756 0.000 4.346
Tm 2.329 0.000 1.377
Tm -0.985 1.760 9.114
Tm 4.843 0.000 9.114
Tm 8.157 1.760 1.377
In 0.000 1.760 0.000
In 5.827 0.000 0.000
```

**Density of states at the Fermi level**: 20.93 states/eV/cell
**Energy of formation from the pure elements**: -16.1 kJ/mol of formula units
**Size of the total moment**: 0.00 Bohr magnetons per cell


[8]
VASP calculation (PBE) on a relaxed TbDy5TmIn2 crystal.

The structure in extended XYZ format:
```
18
Lattice="-3.809 3.809 9.692 3.809 -3.809 9.692 3.809 3.809 -9.692" Properties=species:S:1:pos:R:3 pbc="T T T"
Tb 0.000 0.000 4.846
Tb 0.000 0.000 14.537
Dy 0.000 0.000 0.000
Dy 5.342 1.533 -2.410
Dy 1.533 2.276 -2.410
Dy 5.342 1.533 2.410
Dy 1.533 2.276 2.410
Dy 0.000 0.000 9.692
Dy 2.276 1.533 7.282
Dy -1.533 2.276 7.282
Dy 2.276 1.533 12.101
Dy -1.533 2.276 12.101
Tm 3.809 0.000 4.846
Tm 0.000 3.809 4.846
In 2.867 0.942 0.000
In 2.867 -0.942 9.692
In 0.942 4.751 0.000
In 0.942 2.867 9.692
```

**Density of states at the Fermi level**: 24.17 states/eV/cell
**Energy of formation from the pure elements**: 3.3 kJ/mol of formula units
**Size of the total moment**: 0.00 Bohr magnetons per cell


[9]
VASP calculation (PBE) on a relaxed TbDy2TmIn2 crystal.

The structure in extended XYZ format:
```
12
Lattice="5.167 0.000 0.000 0.000 9.788 0.000 0.000 0.000 6.719" Properties=species:S:1:pos:R:3 pbc="T T T"
Tb 0.000 0.370 0.000
Tb 0.000 9.418 3.359
Dy 0.000 3.118 2.386
Dy 0.000 6.670 5.746
Dy 2.583 4.512 0.497
Dy 2.583 5.276 3.856
Tm 2.583 1.800 4.839
Tm 2.583 7.988 1.479
In 0.000 3.494 5.558
In 0.000 6.295 2.199
In 2.583 1.361 1.681
In 2.583 8.427 5.040
```

**Density of states at the Fermi level**: 11.07 states/eV/cell
**Energy of formation from the pure elements**: -206.1 kJ/mol of formula units
**Size of the total moment**: 0.00 Bohr magnetons per cell


[10]
VASP calculation (PBE) on a relaxed Tb2Dy5YIn crystal.

The structure in extended XYZ format:
```
18
Lattice="2.683 -9.972 0.000 2.683 9.972 0.000 0.000 0.000 10.575" Properties=species:S:1:pos:R:3 pbc="T T T"
Tb 2.683 7.660 5.288
Tb 2.683 7.656 9.652
Tb 2.683 -7.660 0.000
Tb 2.683 -7.656 4.365
Dy 2.683 9.708 2.183
Dy 2.683 4.180 5.344
Dy 2.683 4.173 9.597
Dy 2.683 2.304 2.182
Dy 2.683 0.000 4.824
Dy 2.683 0.000 10.112
Dy 2.683 -2.304 7.469
Dy 2.683 -4.173 4.310
Dy 2.683 -4.180 0.057
Dy 2.683 -9.708 7.471
Y 2.683 5.845 2.183
Y 2.683 -5.845 7.471
In 2.683 1.898 7.466
In 2.683 -1.898 2.178
```

**Density of states at the Fermi level**: 25.84 states/eV/cell
**Energy of formation from the pure elements**: -6.5 kJ/mol of formula units
**Size of the total moment**: 0.00 Bohr magnetons per cell


[11]
VASP calculation (PBE) on a relaxed Tb6Dy2Y3In crystal.

The structure in extended XYZ format:
```
12
Lattice="3.056 -5.299 0.000 3.056 5.299 0.000 -2.050 0.000 11.479" Properties=species:S:1:pos:R:3 pbc="T T T"
Tb 0.998 1.741 2.825
Tb -0.036 0.000 8.639
Tb 0.998 -1.741 2.825
Tb 3.062 1.741 8.654
Tb 4.097 0.000 2.840
Tb 3.062 -1.741 8.654
Dy 3.056 1.760 0.000
Dy 3.056 -1.760 0.000
Y 2.030 3.530 5.740
Y 2.030 0.000 5.740
Y 2.030 -3.530 5.740
In 0.000 0.000 0.000
```

**Density of states at the Fermi level**: 15.40 states/eV/cell
**Energy of formation from the pure elements**: -46.4 kJ/mol of formula units
**Size of the total moment**: 0.00 Bohr magnetons per cell